Entry 1:
A geometry-optimized CaScHg2 structure, computed with PBE.

a = 6.0226 Å, b = 6.0226 Å, c = 6.0226 Å
α = 137.30°, β = 137.30°, γ = 61.97°
Last column: magnetic moment on the atom in μB.
Fractional coordinates of all 4 atoms:
Ca: 0.7500 0.2500 0.5000  0.02
Hg: 0.0000 0.0000 0.0000  0.02
Sc: 0.5000 0.5000 0.0000  0.18
Hg: 0.2500 0.7500 0.5000  0.01

Results
ΔE_f, meV per atom: -241
Total energy, eV per cell: -9.9

Entry 2:
A geometry-optimized CaScHg2 structure, computed with PBE.

a = 3.9723 Å, b = 3.9856 Å, c = 6.5097 Å
α = 90.00°, β = 90.00°, γ = 90.00°
Last column: magnetic moment on the atom in μB.
Fractional coordinates of all 4 atoms:
Ca: 0.5000 0.5000 0.7824  0.06
Sc: 0.0000 0.0000 0.4468  0.40
Hg: 0.0000 0.0000 0.9875  0.01
Hg: 0.5000 0.5000 0.2833  0.03

Results
ΔE_f, meV per atom: -280
Total energy, eV per cell: -10.1

Entry 3:
A geometry-optimized CaScHg2 structure, computed with PBE.

a = 5.1236 Å, b = 5.1236 Å, c = 5.1236 Å
α = 60.00°, β = 60.00°, γ = 60.00°
Last column: magnetic moment on the atom in μB.
Fractional coordinates of all 4 atoms:
Hg: 0.0000 0.0000 0.0000  0.01
Sc: 0.7500 0.7500 0.7500  0.23
Hg: 0.2500 0.2500 0.2500  0.00
Ca: 0.5000 0.5000 0.5000  0.03

Results
ΔE_f, meV per atom: -105
Total energy, eV per cell: -9.4

Entry 4:
A geometry-optimized CaScHg2 structure, computed with PBE.

a = 9.0322 Å, b = 9.0322 Å, c = 9.0322 Å
α = 23.97°, β = 23.97°, γ = 23.97°
Fractional coordinates of all 4 atoms:
Ca: 0.7500 0.7500 0.7500
Hg: 0.5067 0.5067 0.5067
Hg: 0.9933 0.9933 0.9933
Sc: 0.2500 0.2500 0.2500

Results
ΔE_f, meV per atom: -308
Total energy, eV per cell: -10.2

Entry 5:
A geometry-optimized Ca3ScHg4 structure, computed with PBE.

a = 3.6985 Å, b = 3.6985 Å, c = 14.9822 Å
α = 90.00°, β = 90.00°, γ = 90.00°
Fractional coordinates of all 8 atoms:
Hg: 0.0000 0.0000 0.1081
Hg: 0.0000 0.0000 0.8919
Ca: 0.5000 0.5000 0.2414
Hg: 0.0000 0.0000 0.3706
Ca: 0.5000 0.5000 0.5000
Ca: 0.5000 0.5000 0.7586
Hg: 0.0000 0.0000 0.6294
Sc: 0.5000 0.5000 0.0000

Results
ΔE_f, meV per atom: -508
Total energy, eV per cell: -17.6

Entry 6:
A geometry-optimized CaSc2Hg2 structure, computed with PBE.

a = 8.2913 Å, b = 8.2913 Å, c = 3.5996 Å
α = 90.00°, β = 90.00°, γ = 90.00°
Fractional coordinates of all 10 atoms:
Ca: 0.0000 0.0000 0.0000
Hg: 0.3642 0.8642 0.0000
Hg: 0.1358 0.3642 0.0000
Sc: 0.8385 0.3385 0.5000
Ca: 0.5000 0.5000 0.0000
Sc: 0.1615 0.6615 0.5000
Sc: 0.6615 0.8385 0.5000
Hg: 0.6358 0.1358 0.0000
Sc: 0.3385 0.1615 0.5000
Hg: 0.8642 0.6358 0.0000

Results
ΔE_f, meV per atom: -321
Total energy, eV per cell: -33.7
E above lowest polymorph, meV/atom: 0.0

Entry 7:
A geometry-optimized CaSc2Hg structure, computed with PBE.

a = 3.4976 Å, b = 3.4976 Å, c = 8.6713 Å
α = 90.00°, β = 90.00°, γ = 90.00°
Last column: magnetic moment on the atom in μB.
Fractional coordinates of all 4 atoms:
Hg: 0.5000 0.5000 0.7788  0.01
Ca: 0.0000 0.0000 0.5303  0.01
Sc: 0.5000 0.5000 0.2130  0.36
Sc: 0.0000 0.0000 0.9778  0.28

Results
ΔE_f, meV per atom: -163
Total energy, eV per cell: -15.6

Entry 8:
A geometry-optimized CaSc2Hg structure, computed with PBE.

a = 8.4272 Å, b = 8.4272 Å, c = 6.7300 Å
α = 51.24°, β = 51.24°, γ = 90.00°
Fractional coordinates of all 8 atoms:
Sc: 0.8750 0.9262 0.7500
Hg: 0.7500 0.2500 0.5000
Sc: 0.3750 0.3238 0.7500
Hg: 0.0000 0.0000 0.0000
Ca: 0.5000 0.5000 0.0000
Ca: 0.2500 0.7500 0.5000
Sc: 0.6762 0.1250 0.2500
Sc: 0.0738 0.6250 0.2500

Results
ΔE_f, meV per atom: 52
Total energy, eV per cell: -29.5

Entry 9:
A geometry-optimized CaSc2Hg structure, computed with PBE.

a = 4.6244 Å, b = 4.6292 Å, c = 4.6277 Å
α = 90.00°, β = 90.00°, γ = 90.00°
Fractional coordinates of all 4 atoms:
Ca: 0.5000 0.0000 0.5000
Hg: 0.0000 0.5000 0.5000
Sc: 0.5000 0.5000 0.0000
Sc: 0.0000 0.0000 0.0000

Results
ΔE_f, meV per atom: -90
Total energy, eV per cell: -15.3

Entry 10:
A geometry-optimized CaSc2Hg structure, computed with PBE.

a = 5.6556 Å, b = 5.6556 Å, c = 5.6556 Å
α = 131.15°, β = 131.15°, γ = 71.58°
Last column: magnetic moment on the atom in μB.
Fractional coordinates of all 4 atoms:
Sc: 0.5000 0.5000 0.0000  0.17
Sc: 0.0000 0.0000 0.0000  0.17
Ca: 0.2500 0.7500 0.5000  0.01
Hg: 0.7500 0.2500 0.5000  0.00

Results
ΔE_f, meV per atom: -7
Total energy, eV per cell: -15.0

Entry 11:
A geometry-optimized CaScHg2 structure, computed with PBE.

a = 7.9685 Å, b = 7.9685 Å, c = 6.6528 Å
α = 53.21°, β = 53.21°, γ = 90.00°
Fractional coordinates of all 8 atoms:
Sc: 0.0000 0.0000 0.0000
Sc: 0.7500 0.2500 0.5000
Ca: 0.2500 0.7500 0.5000
Hg: 0.3750 0.3495 0.7500
Hg: 0.0995 0.6250 0.2500
Ca: 0.5000 0.5000 0.0000
Hg: 0.8750 0.9005 0.7500
Hg: 0.6505 0.1250 0.2500

Results
ΔE_f, meV per atom: -152
Total energy, eV per cell: -19.1

Entry 12:
A geometry-optimized CaScHg2 structure, computed with PBE.

a = 5.7995 Å, b = 5.7995 Å, c = 5.1807 Å
α = 76.87°, β = 76.87°, γ = 36.22°
Fractional coordinates of all 4 atoms:
Hg: 0.9946 0.9946 0.9501
Sc: 0.5125 0.5125 0.4323
Ca: 0.7393 0.7393 0.8081
Hg: 0.2535 0.2535 0.3096

Results
ΔE_f, meV per atom: -329
Total energy, eV per cell: -10.3

Entry 13:
A geometry-optimized CaScHg3 structure, computed with PBE.

a = 5.4326 Å, b = 5.4326 Å, c = 5.4326 Å
α = 90.00°, β = 90.00°, γ = 90.00°
Fractional coordinates of all 5 atoms:
Hg: 0.0000 0.5000 0.0000
Hg: 0.5000 0.0000 0.0000
Ca: 0.5000 0.5000 0.5000
Sc: 0.0000 0.0000 0.0000
Hg: 0.0000 0.0000 0.5000

Results
ΔE_f, meV per atom: 31
Total energy, eV per cell: -9.1
E above lowest polymorph, meV/atom: 393.9

Entry 14:
A geometry-optimized CaScHg2 structure, computed with PBE.

a = 6.2739 Å, b = 6.2739 Å, c = 6.2739 Å
α = 147.05°, β = 131.63°, γ = 59.78°
Fractional coordinates of all 4 atoms:
Hg: 0.7491 0.2491 0.5000
Hg: 0.9823 0.9823 0.0000
Ca: 0.2423 0.7423 0.5000
Sc: 0.5263 0.5263 0.0000

Results
ΔE_f, meV per atom: -308
Total energy, eV per cell: -10.2

Entry 15:
A geometry-optimized CaScHgSe2 structure, computed with PBE.

a = 5.4173 Å, b = 5.3668 Å, c = 5.4173 Å
α = 90.00°, β = 90.00°, γ = 90.00°
Last column: magnetic moment on the atom in μB.
Fractional coordinates of all 5 atoms:
Hg: 0.0000 0.5000 0.0000  0.02
Ca: 0.0000 0.0000 0.0000  0.00
Sc: 0.5000 0.5000 0.5000  0.74
Se: 0.0000 0.0000 0.5000  -0.02
Se: 0.5000 0.0000 0.0000  -0.03

Results
Total energy, eV per cell: -16.8
Uncorrected formation energy, eV per atom: -0.24

Entry 16:
A geometry-optimized CaSmSc2Hg4 structure, computed with PBE.

a = 5.1621 Å, b = 5.1621 Å, c = 8.9809 Å
α = 73.30°, β = 73.30°, γ = 60.00°
Fractional coordinates of all 8 atoms:
Hg: 0.3759 0.3759 0.8723
Ca: 0.5000 0.5000 0.5000
Hg: 0.6241 0.6241 0.1277
Hg: 0.8749 0.8749 0.3752
Sc: 0.7518 0.7518 0.7446
Sc: 0.2482 0.2482 0.2554
Hg: 0.1251 0.1251 0.6248
Sm: 0.0000 0.0000 0.0000

Results
ΔE_f, meV per atom: -441
Total energy, eV per cell: -24.1

Entry 17:
A geometry-optimized CaScTlHg structure, computed with PBE.

a = 5.2214 Å, b = 5.2214 Å, c = 5.2214 Å
α = 60.00°, β = 60.00°, γ = 60.00°
Fractional coordinates of all 4 atoms:
Tl: 0.7500 0.7500 0.7500
Sc: 0.0000 0.0000 0.0000
Hg: 0.2500 0.2500 0.2500
Ca: 0.5000 0.5000 0.5000

Results
ΔE_f, meV per atom: -384
Total energy, eV per cell: -12.5
E above lowest polymorph, meV/atom: 31.1

Entry 18:
A geometry-optimized CaScTlHg structure, computed with PBE.

a = 3.6446 Å, b = 3.6446 Å, c = 7.5868 Å
α = 90.00°, β = 90.00°, γ = 90.00°
Last column: magnetic moment on the atom in μB.
Fractional coordinates of all 4 atoms:
Sc: 0.0000 0.0000 0.3694  0.13
Hg: 0.5000 0.5000 0.5813  0.01
Ca: 0.0000 0.0000 0.8491  0.00
Tl: 0.5000 0.5000 0.1281  0.00

Results
ΔE_f, meV per atom: -415
Total energy, eV per cell: -12.7
E above lowest polymorph, meV/atom: 0.0

Entry 19:
A geometry-optimized CaTm2ScHg4 structure, computed with PBE.

a = 5.1643 Å, b = 5.1643 Å, c = 8.9557 Å
α = 73.24°, β = 73.24°, γ = 60.00°
Fractional coordinates of all 8 atoms:
Ca: 0.0000 0.0000 0.0000
Sc: 0.5000 0.5000 0.5000
Hg: 0.8728 0.8728 0.3817
Hg: 0.1272 0.1272 0.6183
Hg: 0.6212 0.6212 0.1363
Hg: 0.3787 0.3787 0.8637
Tm: 0.7503 0.7503 0.7490
Tm: 0.2497 0.2497 0.2510

Results
ΔE_f, meV per atom: -480
Total energy, eV per cell: -22.3

Entry 20:
A geometry-optimized CaScZnHg structure, computed with PBE.

a = 5.0639 Å, b = 5.0639 Å, c = 5.0639 Å
α = 60.00°, β = 60.00°, γ = 60.00°
Fractional coordinates of all 4 atoms:
Sc: 0.2500 0.2500 0.2500
Zn: 0.0000 0.0000 0.0000
Hg: 0.5000 0.5000 0.5000
Ca: 0.7500 0.7500 0.7500

Results
ΔE_f, meV per atom: -335
Total energy, eV per cell: -11.2

Entry 21:
A geometry-optimized Ca2HgSe structure, computed with PBE.

a = 6.1852 Å, b = 4.3472 Å, c = 4.3448 Å
α = 90.00°, β = 90.00°, γ = 90.00°
Fractional coordinates of all 4 atoms:
Ca: 0.5000 0.3756 0.3756
Hg: 0.0000 0.3744 0.3744
Ca: 0.0000 0.8746 0.8744
Se: 0.5000 0.8754 0.8756

Results
Total energy, eV per cell: -11.8
E above lowest polymorph, meV/atom: 115.7
Uncorrected formation energy, eV per atom: -1.00

Entry 22:
A geometry-optimized CaHg4Se structure, computed with PBE.

a = 6.1171 Å, b = 6.1171 Å, c = 6.1171 Å
α = 60.00°, β = 60.00°, γ = 60.00°
Fractional coordinates of all 6 atoms:
Se: 0.7500 0.7500 0.7500
Hg: 0.3756 0.8731 0.3756
Hg: 0.3756 0.3756 0.3756
Hg: 0.3756 0.3756 0.8731
Ca: 0.0000 0.0000 0.0000
Hg: 0.8731 0.3756 0.3756

Results
Total energy, eV per cell: -7.9
Uncorrected formation energy, eV per atom: -0.21

Entry 23:
A geometry-optimized Ca2HgSe structure, computed with PBE.

a = 3.7535 Å, b = 3.7592 Å, c = 8.2038 Å
α = 62.80°, β = 90.00°, γ = 90.00°
Fractional coordinates of all 4 atoms:
Hg: 0.5000 0.2500 0.2500
Se: 0.5000 0.7500 0.7500
Ca: 0.0000 0.4899 0.5109
Ca: 0.0000 0.0101 0.9891

Results
Total energy, eV per cell: -12.1
E above lowest polymorph, meV/atom: 44.0
Uncorrected formation energy, eV per atom: -1.08

Entry 24:
A geometry-optimized Ca2HgSe structure, computed with PBE.

a = 4.1039 Å, b = 4.1039 Å, c = 8.2919 Å
α = 75.72°, β = 75.72°, γ = 59.94°
Last column: magnetic moment on the atom in μB.
Fractional coordinates of all 4 atoms:
Ca: 0.4897 0.4897 0.5298  0.05
Hg: 0.2500 0.2500 0.2500  0.06
Ca: 0.0103 0.0103 0.9702  0.05
Se: 0.7500 0.7500 0.7500  0.01

Results
Total energy, eV per cell: -12.3
E above lowest polymorph, meV/atom: 0.0
Uncorrected formation energy, eV per atom: -1.12

Entry 25:
A geometry-optimized CaHg2Se structure, computed with PBE.

a = 7.9763 Å, b = 4.0524 Å, c = 16.3381 Å
α = 90.00°, β = 109.28°, γ = 90.00°
Fractional coordinates of all 16 atoms:
Hg: 0.6655 0.0778 0.7775
Ca: 0.5000 0.1032 0.0000
Hg: 0.1259 0.0626 0.8212
Hg: 0.1259 0.5626 0.3212
Ca: 0.5000 0.6032 0.5000
Hg: 0.3345 0.5778 0.7225
Se: 0.2711 0.1029 0.5299
Se: 0.7289 0.1029 0.4701
Hg: 0.3345 0.0778 0.2225
Se: 0.2711 0.6029 0.0299
Hg: 0.8741 0.5626 0.6788
Hg: 0.8741 0.0626 0.1788
Se: 0.7289 0.6029 0.9701
Ca: 0.0000 0.6035 0.5000
Ca: 0.0000 0.1035 0.0000
Hg: 0.6655 0.5778 0.2775

Results
Total energy, eV per cell: -37.4
Uncorrected formation energy, eV per atom: -0.82

Entry 26:
A geometry-optimized Ca2HgSe2 structure, computed with PBE.

a = 8.2801 Å, b = 8.2801 Å, c = 3.7936 Å
α = 90.00°, β = 90.00°, γ = 90.00°
Fractional coordinates of all 10 atoms:
Ca: 0.6475 0.1475 0.0000
Ca: 0.1475 0.3525 0.0000
Se: 0.8464 0.3464 0.5000
Hg: 0.0000 0.0000 0.0000
Se: 0.1536 0.6536 0.5000
Se: 0.6536 0.8464 0.5000
Se: 0.3464 0.1536 0.5000
Ca: 0.8525 0.6475 0.0000
Ca: 0.3525 0.8525 0.0000
Hg: 0.5000 0.5000 0.0000

Results
Total energy, eV per cell: -36.3
E above lowest polymorph, meV/atom: 0.0
Uncorrected formation energy, eV per atom: -1.38

Entry 27:
A geometry-optimized CaHg2Se structure, computed with PBE.

a = 4.4958 Å, b = 4.4958 Å, c = 7.5378 Å
α = 72.69°, β = 72.69°, γ = 59.75°
Fractional coordinates of all 4 atoms:
Hg: 0.0027 0.0027 0.9920
Se: 0.5125 0.5125 0.4611
Ca: 0.2331 0.2331 0.3007
Hg: 0.7517 0.7517 0.7461

Results
Total energy, eV per cell: -9.0
Uncorrected formation energy, eV per atom: -0.73

Entry 28:
A geometry-optimized Ca2HgSe structure, computed with PBE.

a = 7.8134 Å, b = 7.8134 Å, c = 4.1577 Å
α = 74.55°, β = 74.55°, γ = 28.70°
Fractional coordinates of all 4 atoms:
Ca: 0.2822 0.2822 0.2183
Se: 0.7111 0.7111 0.7898
Ca: 0.0507 0.0507 0.9487
Hg: 0.4560 0.4560 0.5433

Results
Total energy, eV per cell: -11.9
E above lowest polymorph, meV/atom: 85.8
Uncorrected formation energy, eV per atom: -1.03